No. 1
Below is a geometry-optimized Er2ScAlO structure, with properties calculated at the PBE level.

Structure (POSCAR):
```
Er2ScAlO
1.0
4.686 0.000 0.000
0.000 4.686 0.000
0.000 0.000 4.395
Er Sc Al O
2 1 1 1
Direct
0.000 0.500 0.000
0.500 0.000 0.000
0.000 0.000 0.500
0.500 0.500 0.500
0.000 0.000 0.000
```

Computed properties:
Electronic total energy   -31.102 eV/f.u.
Energy relative to the elements, uncorrected   -1.389 eV/atom
Density of states at the Fermi level   3.0 states/eV/cell


No. 2
Below is a geometry-optimized Er3Sc2Al3O12 structure, with properties calculated at the PBE level.

Structure (POSCAR):
```
Er3Sc2Al3O12
1.0
-6.183 6.183 6.183
6.183 -6.183 6.183
6.183 6.183 -6.183
Er Sc Al O
12 8 12 48
Direct
0.125 0.250 0.375
0.125 0.375 0.750
0.250 0.375 0.125
0.250 0.875 0.625
0.375 0.125 0.250
0.375 0.750 0.125
0.625 0.250 0.875
0.625 0.875 0.750
0.750 0.125 0.375
0.750 0.625 0.875
0.875 0.625 0.250
0.875 0.750 0.625
0.000 0.000 0.000
0.000 0.000 0.500
0.000 0.500 0.000
0.000 0.500 0.500
0.500 0.000 0.000
0.500 0.000 0.500
0.500 0.500 0.000
0.500 0.500 0.500
0.125 0.750 0.875
0.125 0.875 0.250
0.250 0.125 0.875
0.250 0.625 0.375
0.375 0.250 0.625
0.375 0.625 0.750
0.625 0.375 0.250
0.625 0.750 0.375
0.750 0.375 0.625
0.750 0.875 0.125
0.875 0.125 0.750
0.875 0.250 0.125
0.027 0.215 0.127
0.027 0.312 0.901
0.088 0.715 0.688
0.088 0.873 0.401
0.099 0.627 0.412
0.099 0.973 0.688
0.127 0.027 0.215
0.127 0.599 0.912
0.188 0.215 0.588
0.188 0.473 0.599
0.215 0.127 0.027
0.215 0.588 0.188
0.285 0.312 0.912
0.285 0.473 0.373
0.312 0.901 0.027
0.312 0.912 0.285
0.373 0.285 0.473
0.373 0.588 0.901
0.401 0.088 0.873
0.401 0.812 0.527
0.412 0.099 0.627
0.412 0.812 0.785
0.473 0.373 0.285
0.473 0.599 0.188
0.527 0.401 0.812
0.527 0.627 0.715
0.588 0.188 0.215
0.588 0.901 0.373
0.599 0.188 0.473
0.599 0.912 0.127
0.627 0.412 0.099
0.627 0.715 0.527
0.688 0.088 0.715
0.688 0.099 0.973
0.715 0.527 0.627
0.715 0.688 0.088
0.785 0.412 0.812
0.785 0.873 0.973
0.812 0.527 0.401
0.812 0.785 0.412
0.873 0.401 0.088
0.873 0.973 0.785
0.901 0.027 0.312
0.901 0.373 0.588
0.912 0.127 0.599
0.912 0.285 0.312
0.973 0.688 0.099
0.973 0.785 0.873
```

Computed properties:
Electronic total energy   -165.322 eV/f.u.
Energy relative to the elements, uncorrected   -3.412 eV/atom
Density of states at the Fermi level   0.0 states/eV/cell


No. 3
Below is a geometry-optimized SrErAlO4 structure, with properties calculated at the PBE level.

Structure (POSCAR):
```
SrErAlO4
1.0
5.590 0.000 0.000
0.000 5.710 0.000
-2.103 0.000 6.471
Sr Er Al O
2 2 2 8
Direct
0.212 0.250 0.433
0.788 0.750 0.567
0.306 0.250 0.963
0.694 0.750 0.037
0.239 0.750 0.175
0.761 0.250 0.825
0.030 0.750 0.923
0.040 0.750 0.332
0.463 0.518 0.210
0.463 0.982 0.210
0.537 0.018 0.790
0.537 0.482 0.790
0.960 0.250 0.668
0.970 0.250 0.077
```

Computed properties:
Electronic total energy   -51.649 eV/f.u.
Energy relative to the elements, uncorrected   -3.118 eV/atom
Density of states at the Fermi level   0.0 states/eV/cell